Rb2LaZrS4 | GGA-PBE | optimized geometry

As for the density: 3.99 g/cm3. The total energy comes out at -44.9 eV per cell. The calculation puts the volume at 220.14 Å³ per cell. Its density of states at the Fermi level is 3.53 states/eV/cell. The value obtained for the formation energy without anion corrections is -1253.2 kJ/mol of formula units.

a b c (Å): 7.076 4.028 8.053
angles (deg): 90.00 106.46 90.00
Space group P2/m (No. 10)
Inequivalent atoms, fractional coordinates:
Rb (0.000, 0.000, 0.000) [1 per cell]
Rb (0.500, 0.500, 0.000) [1 per cell]
La (0.000, 0.500, 0.500) [1 per cell]
Zr (0.500, 0.000, 0.500) [1 per cell]
S (0.258, 0.000, 0.698) [2 per cell]
S (0.291, 0.500, 0.311) [2 per cell]



Tb2Mg3Au4 | GGA-PBE | optimized geometry

As for the density: 10.14 g/cm3. For the formation energy from the elements, the calculation gives -0.64 eV/atom. The total energy comes out at -131.8 eV per cell. The calculation puts the volume at 771.95 Å³ per cell. Its density of states at the Fermi level is 21.15 states/eV/cell. The offset from the most stable computed form is 0.47 kcal/mol of atoms.

a b c (Å): 6.045 16.204 7.881
angles (deg): 90.00 90.00 90.00
Space group Cmce (No. 64)
Inequivalent atoms, fractional coordinates:
Tb (0.000, 0.103, 0.095) [8 per cell]
Mg (0.000, 0.000, 0.500) [4 per cell]
Mg (0.250, 0.223, 0.750) [8 per cell]
Au (0.000, 0.175, 0.458) [8 per cell]
Au (0.250, 0.054, 0.750) [8 per cell]



NaLi2AlH | GGA-PBE | optimized geometry

As for the density: 1.28 g/cm3. The total energy comes out at -11.7 eV per cell. The calculation puts the volume at 84.38 Å³ per cell. Its density of states at the Fermi level is 2.25 states/eV/cell.

a b c (Å): 4.577 4.577 4.028
angles (deg): 90.00 90.00 90.00
Space group P4/mmm (No. 123)
Inequivalent atoms, fractional coordinates:
Na (0.000, 0.000, 0.000) [1 per cell]
Li (0.000, 0.500, 0.500) [2 per cell]
Al (0.500, 0.500, 0.000) [1 per cell]
H (0.500, 0.500, 0.500) [1 per cell]



Sm2DyZr | GGA-PBE | optimized geometry

As for the density: 7.67 g/cm3. For the formation energy from the elements, the calculation gives 0.22 eV/atom. The total energy comes out at -86.8 eV per cell. The calculation puts the volume at 479.97 Å³ per cell. Its density of states at the Fermi level is 26.81 states/eV/cell. The offset from the most stable computed form is 2.67 kcal/mol of atoms.

a b c (Å): 7.830 7.830 7.830
angles (deg): 90.00 90.00 90.00
Space group Fm-3m (No. 225)
Inequivalent atoms, fractional coordinates:
Sm (0.250, 0.250, 0.250) [8 per cell]
Dy (0.000, 0.000, 0.000) [4 per cell]
Zr (0.000, 0.000, 0.500) [4 per cell]



LiCSe2 | GGA-PBE | optimized geometry

As for the density: 3.82 g/cm3. The total energy comes out at -65.7 eV per cell. The calculation puts the volume at 307.39 Å³ per cell. Its density of states at the Fermi level is 13.72 states/eV/cell. The offset from the most stable computed form is 1.46 kcal/mol of atoms. The value obtained for the formation energy without anion corrections is 161.2 kJ/mol of formula units.

a b c (Å): 5.557 5.557 9.953
angles (deg): 90.00 90.00 90.00
Space group I-42d (No. 122)
Inequivalent atoms, fractional coordinates:
Li (0.000, 0.000, 0.000) [4 per cell]
C (0.000, 0.000, 0.500) [4 per cell]
Se (0.182, 0.250, 0.625) [8 per cell]



AlPRu | GGA-PBE | optimized geometry

As for the density: 5.97 g/cm3. For the formation energy from the elements, the calculation gives -0.01 eV/atom. The total energy comes out at -73.8 eV per cell. The calculation puts the volume at 176.94 Å³ per cell. Its density of states at the Fermi level is 4.98 states/eV/cell.

a b c (Å): 2.968 4.931 12.093
angles (deg): 90.00 90.00 90.00
Space group Fmm2 (No. 42)
Inequivalent atoms, fractional coordinates:
Al (0.000, 0.000, 0.000) [4 per cell]
P (0.000, 0.000, 0.319) [4 per cell]
Ru (0.000, 0.000, 0.673) [4 per cell]



K2SnHgTe4 | GGA-PBE | optimized geometry

As for the density: 5.15 g/cm3. The total energy comes out at -89.3 eV per cell. The calculation puts the volume at 1171.05 Å³ per cell. Its density of states at the Fermi level is 22.92 states/eV/cell. The value obtained for the formation energy without anion corrections is -314.4 kJ/mol of formula units.

a b c (Å): 12.557 13.554 8.718
angles (deg): 90.00 127.89 90.00
Space group C2/c (No. 15)
Inequivalent atoms, fractional coordinates:
K (0.000, 0.000, 0.000) [4 per cell]
K (0.250, 0.250, 0.000) [4 per cell]
Sn (0.000, 0.500, 0.000) [4 per cell]
Hg (0.250, 0.250, 0.500) [4 per cell]
Te (0.032, 0.270, 0.507) [8 per cell]
Te (0.209, 0.499, 0.943) [8 per cell]



GaPtIO2 | GGA-PBE | optimized geometry

As for the density: 6.54 g/cm3. The total energy comes out at -21.5 eV per cell. The calculation puts the volume at 107.53 Å³ per cell. Its density of states at the Fermi level is 4.43 states/eV/cell. The offset from the most stable computed form is 0.00 kcal/mol of atoms. The value obtained for the formation energy without anion corrections is -90.5 kJ/mol of formula units.

a b c (Å): 3.765 3.765 7.587
angles (deg): 90.00 90.00 90.00
Space group P4/mmm (No. 123)
Inequivalent atoms, fractional coordinates:
Ga (0.000, 0.000, 0.000) [1 per cell]
Pt (0.500, 0.500, 0.500) [1 per cell]
I (0.000, 0.000, 0.500) [1 per cell]
O (0.000, 0.500, 0.000) [2 per cell]